First-principles (GGA-PBE) data for a relaxed structure of Cd12InHg6, as listed in Alexandria.

Results
The calculation puts the calculated total energy at -0.782 eV/atom. The value obtained for the density of states at the Fermi level is 5.188 states/eV per cell. The energy above the most stable polymorph in this dataset is 0.000 eV/atom. Its space group is No. 2. The total magnetization is 0.00 μB per cell.

Cell: 7.7001 7.7066 7.8911 Å, 89.79 88.72 83.39°
Element x y z (fractional)
Cd  0.0008  0.2921  0.0308
Cd  0.0437  0.0394  0.6856
Cd  0.0984  0.4604  0.6677
Cd  0.2958  0.0039  0.0386
Cd  0.3728  0.3760  0.9686
Cd  0.4549  0.1004  0.6656
Cd  0.5451  0.8996  0.3344
Cd  0.6272  0.6240  0.0314
Cd  0.7042  0.9961  0.9614
Cd  0.9016  0.5396  0.3323
Cd  0.9563  0.9606  0.3144
Cd  0.9992  0.7079  0.9692
In  0.5000  0.5000  0.5000
Hg  0.2202  0.2244  0.3714
Hg  0.2569  0.6721  0.2518
Hg  0.3331  0.7444  0.7545
Hg  0.6669  0.2556  0.2455
Hg  0.7431  0.3279  0.7482
Hg  0.7798  0.7756  0.6286